Compound: SmHo3Tm6
Source: the Alexandria database
Functional: GGA-PBE
Structure: optimized geometry

The structure belongs to space group Cmc2_1 (No. 36); the cell edges are 10.890, 18.732 and 6.121 Å and the angles 90.00°, 90.00° and 90.00°. The asymmetric unit holds Sm at (0.000, 0.209, 0.000), Ho at (0.000, 0.391, 0.089), Ho at (0.174, 0.108, 0.703), Tm at (0.000, 0.048, 0.242), Tm at (0.000, 0.287, 0.519), Tm at (0.165, 0.453, 0.632) and Tm at (0.246, 0.211, 0.297).

For the volume, the calculation gives 31.2 Å³ per atom. The formation energy is 0.15 eV per atom. For the magnetic moment, the calculation gives 0.00 μB per cell. Its relative energy among the computed polymorphs is 0 meV/atom.

***

Compound: Ac3Sn2Bi2Pd4
Source: the Alexandria database
Functional: GGA-PBE
Structure: optimized geometry

The structure belongs to space group P-3m1 (No. 164); the cell edges are 4.8816, 4.8816 and 14.5466 Å and the angles 90.00°, 90.00° and 120.00°. The asymmetric unit holds Ac at (0.0000, 0.0000, 0.0000), Ac at (0.0000, 0.0000, 0.2755), Sn at (0.3333, 0.6667, 0.1517), Bi at (0.3333, 0.6667, 0.5697), Pd at (0.3333, 0.6667, 0.3728) and Pd at (0.3333, 0.6667, 0.8696).

For the volume, the calculation gives 27.3 Å³ per atom. The formation energy is -0.72 eV per atom. For the magnetic moment, the calculation gives 0.00 μB per cell.

***

Compound: MgTaCl
Source: the Alexandria database
Functional: GGA-PBE
Structure: optimized geometry

The structure belongs to space group Fmm2 (No. 42); the cell edges are 3.402, 4.945 and 16.945 Å and the angles 90.00°, 90.00° and 90.00°. The asymmetric unit holds Mg at (0.000, 0.000, 0.000), Ta at (0.000, 0.000, 0.639) and Cl at (0.000, 0.000, 0.249).

For the volume, the calculation gives 23.8 Å³ per atom. For the magnetic moment, the calculation gives 0.00 μB per cell. The value obtained for the uncorrected formation energy is -0.020 eV per atom. Its relative energy among the computed polymorphs is 227 meV/atom.

***

Compound: HoZrCd4
Source: the Alexandria database
Functional: GGA-PBE
Structure: optimized geometry

The structure belongs to space group P6/mmm (No. 191); the cell edges are 4.8999, 4.8999 and 6.6263 Å and the angles 90.00°, 90.00° and 120.00°. The asymmetric unit holds Ho at (0.0000, 0.0000, 0.0000), Zr at (0.0000, 0.0000, 0.5000) and Cd at (0.3333, 0.6667, 0.2634).

For the volume, the calculation gives 23.0 Å³ per atom. The formation energy is -0.18 eV per atom. For the magnetic moment, the calculation gives 0.00 μB per cell. Its relative energy among the computed polymorphs is 0 meV/atom.

***

Compound: TcPI
Source: the Alexandria database
Functional: GGA-PBE
Structure: optimized geometry

The structure belongs to space group P-1 (No. 2); the cell edges are 3.368, 5.893 and 7.645 Å and the angles 67.68°, 77.86° and 89.98°. The asymmetric unit holds Tc at (0.000, 0.245, 0.000), P at (0.421, 0.919, 0.166) and I at (0.152, 0.657, 0.681).

For the volume, the calculation gives 22.8 Å³ per atom. For the magnetic moment, the calculation gives 0.00 μB per cell. The value obtained for the uncorrected formation energy is 0.041 eV per atom.

***

Compound: KCaGeRh2
Source: the Alexandria database
Functional: GGA-PBE
Structure: optimized geometry

The structure belongs to space group P4/mmm (No. 123); the cell edges are 4.810, 4.810 and 5.045 Å and the angles 90.00°, 90.00° and 90.00°. The asymmetric unit holds K at (0.000, 0.000, 0.000), Ca at (0.000, 0.000, 0.500), Ge at (0.500, 0.500, 0.500) and Rh at (0.000, 0.500, 0.000).

For the volume, the calculation gives 23.3 Å³ per atom. The formation energy is 1.44 eV per atom. For the magnetic moment, the calculation gives 0.00 μB per cell.

***

Compound: TlSn4Au
Source: the Alexandria database
Functional: GGA-PBE
Structure: optimized geometry

The structure belongs to space group Cmcm (No. 63); the cell edges are 5.092, 21.516 and 6.476 Å and the angles 90.00°, 90.00° and 90.00°. The asymmetric unit holds Tl at (0.000, 0.117, 0.250), Sn at (0.000, 0.046, 0.750), Sn at (0.000, 0.285, 0.519), Sn at (0.000, 0.500, 0.000) and Au at (0.000, 0.384, 0.250).

For the volume, the calculation gives 29.6 Å³ per atom. The formation energy is 0.03 eV per atom. For the magnetic moment, the calculation gives 0.00 μB per cell. Its relative energy among the computed polymorphs is 47 meV/atom.

***

Compound: SmAg2Sn3
Source: the Alexandria database
Functional: GGA-PBE
Structure: optimized geometry

The structure belongs to space group Cmmm (No. 65); the cell edges are 4.606, 14.093 and 4.378 Å and the angles 90.00°, 90.00° and 90.00°. The asymmetric unit holds Sm at (0.000, 0.000, 0.000), Ag at (0.000, 0.324, 0.000), Sn at (0.000, 0.174, 0.500) and Sn at (0.000, 0.500, 0.500).

For the volume, the calculation gives 23.7 Å³ per atom. The formation energy is -0.26 eV per atom. For the magnetic moment, the calculation gives 0.00 μB per cell. Its relative energy among the computed polymorphs is 0 meV/atom.

***

Compound: SrInMo2
Source: the Alexandria database
Functional: GGA-PBE
Structure: optimized geometry

The structure belongs to space group Pm (No. 6); the cell edges are 3.354, 3.343 and 8.051 Å and the angles 90.00°, 90.75° and 90.00°. The asymmetric unit holds Sr at (0.000, 0.000, 0.000), In at (0.507, 0.500, 0.320), Mo at (0.020, 0.000, 0.552) and Mo at (0.496, 0.500, 0.697).

For the volume, the calculation gives 22.6 Å³ per atom. The formation energy is 0.28 eV per atom. For the magnetic moment, the calculation gives 0.00 μB per cell.

***

Compound: CsIn2AgBr4
Source: the Alexandria database
Functional: GGA-PBE
Structure: optimized geometry

The structure belongs to space group Imma (No. 74); the cell edges are 9.668, 9.870 and 13.370 Å and the angles 90.00°, 90.00° and 90.00°. The asymmetric unit holds Cs at (0.000, 0.000, 0.000), In at (0.000, 0.000, 0.500), In at (0.250, 0.250, 0.250), Ag at (0.250, 0.250, 0.750), Br at (0.000, 0.032, 0.260) and Br at (0.235, 0.250, 0.557).

For the volume, the calculation gives 39.9 Å³ per atom. For the magnetic moment, the calculation gives 0.00 μB per cell. The value obtained for the uncorrected formation energy is -0.800 eV per atom.

***

Compound: Pr5Ho8In
Source: the Alexandria database
Functional: GGA-PBE
Structure: optimized geometry

The structure belongs to space group I-4 (No. 82); the cell edges are 9.675, 9.675 and 9.966 Å and the angles 90.00°, 90.00° and 90.00°. The asymmetric unit holds Pr at (0.000, 0.000, 0.000), Pr at (0.102, 0.213, 0.583), Ho at (0.068, 0.328, 0.910), Ho at (0.086, 0.189, 0.246) and In at (0.000, 0.500, 0.250).

For the volume, the calculation gives 33.3 Å³ per atom. The formation energy is 0.18 eV per atom. For the magnetic moment, the calculation gives 0.00 μB per cell.

***

Compound: Li7Al
Source: the Alexandria database
Functional: GGA-PBE
Structure: optimized geometry

The structure belongs to space group Fm-3m (No. 225); the cell edges are 8.323, 8.323 and 8.323 Å and the angles 90.00°, 90.00° and 90.00°. The asymmetric unit holds Li at (0.000, 0.000, 0.000), Li at (0.000, 0.250, 0.250) and Al at (0.000, 0.000, 0.500).

For the volume, the calculation gives 18.0 Å³ per atom. The formation energy is -0.04 eV per atom. For the magnetic moment, the calculation gives 0.00 μB per cell.

***

Compound: Rb2CdNiI6
Source: the Alexandria database
Functional: GGA-PBE
Structure: optimized geometry

The structure belongs to space group I4/mmm (No. 139); the cell edges are 8.160, 8.160 and 11.563 Å and the angles 90.00°, 90.00° and 90.00°. The asymmetric unit holds Rb at (0.000, 0.500, 0.250), Cd at (0.000, 0.000, 0.000), Ni at (0.000, 0.000, 0.500), I at (0.000, 0.000, 0.269) and I at (0.240, 0.240, 0.500).

For the volume, the calculation gives 38.5 Å³ per atom. For the magnetic moment, the calculation gives 0.25 μB per cell. The value obtained for the uncorrected formation energy is -0.702 eV per atom.

***

Compound: TmB2PbO6
Source: the Alexandria database
Functional: GGA-PBE
Structure: optimized geometry

The structure belongs to space group C2/c (No. 15); the cell edges are 8.020, 10.148 and 6.540 Å and the angles 90.00°, 106.18° and 90.00°. The asymmetric unit holds Tm at (0.000, 0.080, 0.250), B at (0.249, 0.345, 0.257), Pb at (0.000, 0.397, 0.750), O at (0.110, 0.094, 0.606), O at (0.127, 0.425, 0.120) and O at (0.225, 0.210, 0.247).

For the volume, the calculation gives 12.8 Å³ per atom. For the magnetic moment, the calculation gives 0.00 μB per cell. The value obtained for the uncorrected formation energy is -2.389 eV per atom.

***

Compound: AcIrRh
Source: the Alexandria database
Functional: GGA-PBE
Structure: optimized geometry

The structure belongs to space group P-6m2 (No. 187); the cell edges are 4.3707, 4.3707 and 4.3403 Å and the angles 90.00°, 90.00° and 120.00°. The asymmetric unit holds Ac at (0.0000, 0.0000, 0.0000), Ir at (0.3333, 0.6667, 0.5000) and Rh at (0.6667, 0.3333, 0.5000).

For the volume, the calculation gives 23.9 Å³ per atom. The formation energy is -0.46 eV per atom. For the magnetic moment, the calculation gives 0.56 μB per cell. Its relative energy among the computed polymorphs is 111 meV/atom.

***

Compound: HfAlTe2
Source: the Alexandria database
Functional: GGA-PBE
Structure: optimized geometry

The structure belongs to space group I-42d (No. 122); the cell edges are 6.756, 6.756 and 12.060 Å and the angles 90.00°, 90.00° and 90.00°. The asymmetric unit holds Hf at (0.000, 0.000, 0.000), Al at (0.000, 0.000, 0.500) and Te at (0.243, 0.250, 0.125).

For the volume, the calculation gives 34.4 Å³ per atom. For the magnetic moment, the calculation gives 0.00 μB per cell. The value obtained for the uncorrected formation energy is 0.068 eV per atom. Its relative energy among the computed polymorphs is 333 meV/atom.

***

Compound: CaHg3Pb
Source: the Alexandria database
Functional: GGA-PBE
Structure: optimized geometry

The structure belongs to space group Pm-3m (No. 221); the cell edges are 5.764, 5.764 and 5.764 Å and the angles 90.00°, 90.00° and 90.00°. The asymmetric unit holds Ca at (0.000, 0.000, 0.000), Hg at (0.000, 0.500, 0.500) and Pb at (0.500, 0.500, 0.500).

For the volume, the calculation gives 38.3 Å³ per atom. The formation energy is 0.16 eV per atom. For the magnetic moment, the calculation gives 0.00 μB per cell. Its relative energy among the computed polymorphs is 359 meV/atom.

***

Compound: MgTcSb2
Source: the Alexandria database
Functional: GGA-PBE
Structure: optimized geometry

The structure belongs to space group Fm-3m (No. 225); the cell edges are 6.807, 6.807 and 6.807 Å and the angles 90.00°, 90.00° and 90.00°. The asymmetric unit holds Mg at (0.000, 0.000, 0.000), Tc at (0.000, 0.000, 0.500) and Sb at (0.250, 0.250, 0.250).

For the volume, the calculation gives 19.7 Å³ per atom. For the magnetic moment, the calculation gives 0.00 μB per cell. The value obtained for the uncorrected formation energy is 0.124 eV per atom. Its relative energy among the computed polymorphs is 133 meV/atom.

***

Compound: Mg3Au
Source: the Alexandria database
Functional: GGA-PBE
Structure: optimized geometry

The structure belongs to space group P4mm (No. 99); the cell edges are 4.260, 4.260 and 4.270 Å and the angles 90.00°, 90.00° and 90.00°. The asymmetric unit holds Mg at (0.000, 0.000, 0.000), Mg at (0.000, 0.500, 0.500) and Au at (0.500, 0.500, 0.998).

For the volume, the calculation gives 19.4 Å³ per atom. The formation energy is -0.34 eV per atom. For the magnetic moment, the calculation gives 0.00 μB per cell. Its relative energy among the computed polymorphs is 78 meV/atom.

***

Compound: Pr2Ho3Er9
Source: the Alexandria database
Functional: GGA-PBE
Structure: optimized geometry

The structure belongs to space group P-1 (No. 2); the cell edges are 6.166, 8.692 and 8.751 Å and the angles 78.70°, 86.64° and 77.78°. The asymmetric unit holds Pr at (0.040, 0.293, 0.028), Ho at (0.242, 0.726, 0.617), Ho at (0.500, 0.500, 0.000), Er at (0.012, 0.083, 0.743), Er at (0.153, 0.507, 0.336), Er at (0.317, 0.104, 0.380), Er at (0.411, 0.306, 0.684) and Er at (0.500, 0.000, 0.000).

For the volume, the calculation gives 32.1 Å³ per atom. The formation energy is 0.12 eV per atom. For the magnetic moment, the calculation gives 0.00 μB per cell.

***

Compound: HoMg3Cd2
Source: the Alexandria database
Functional: GGA-PBE
Structure: optimized geometry

The structure belongs to space group P6_3/mmc (No. 194); the cell edges are 4.9203, 4.9203 and 13.3458 Å and the angles 90.00°, 90.00° and 120.00°. The asymmetric unit holds Ho at (0.0000, 0.0000, 0.2500), Mg at (0.0000, 0.0000, 0.0000), Mg at (0.3333, 0.6667, 0.1060) and Cd at (0.3333, 0.6667, 0.6322).

For the volume, the calculation gives 23.3 Å³ per atom. The formation energy is -0.18 eV per atom. For the magnetic moment, the calculation gives 0.00 μB per cell. Its relative energy among the computed polymorphs is 0 meV/atom.

***

Compound: AgNF6
Source: the Alexandria database
Functional: GGA-PBE
Structure: optimized geometry

The structure belongs to space group C2/m (No. 12); the cell edges are 7.537, 5.926 and 4.918 Å and the angles 90.00°, 118.04° and 90.00°. The asymmetric unit holds Ag at (0.000, 0.000, 0.000), N at (0.000, 0.500, 0.500), F at (0.065, 0.304, 0.768) and F at (0.239, 0.500, 0.543).

For the volume, the calculation gives 12.1 Å³ per atom. For the magnetic moment, the calculation gives 0.00 μB per cell. The value obtained for the uncorrected formation energy is -0.224 eV per atom.

***

Compound: Ce2DyY3N6
Source: the Alexandria database
Functional: GGA-PBE
Structure: optimized geometry

The structure belongs to space group C2/m (No. 12); the cell edges are 6.073, 10.522 and 6.070 Å and the angles 90.00°, 109.46° and 90.00°. The asymmetric unit holds Ce at (0.000, 0.167, 0.000), Dy at (0.000, 0.500, 0.000), Y at (0.000, 0.000, 0.500), Y at (0.000, 0.334, 0.500), N at (0.249, 0.000, 0.250) and N at (0.250, 0.167, 0.752).

For the volume, the calculation gives 15.2 Å³ per atom. For the magnetic moment, the calculation gives 0.56 μB per cell. The value obtained for the uncorrected formation energy is -1.630 eV per atom.

***

| no. | calculated total energy (eV/atom) |
| --- | --- |
| 1 | -4.380 |
| 2 | -5.166 |
| 3 | -5.118 |
| 4 | -2.977 |
| 5 | -5.735 |
| 6 | -3.049 |
| 7 | -3.578 |
| 8 | -3.998 |
| 9 | -6.240 |
| 10 | -2.784 |
| 11 | -4.341 |
| 12 | -2.182 |
| 13 | -2.495 |
| 14 | -7.517 |
| 15 | -7.231 |
| 16 | -4.927 |
| 17 | -1.160 |
| 18 | -4.927 |
| 19 | -2.353 |
| 20 | -4.474 |
| 21 | -2.048 |
| 22 | -3.024 |
| 23 | -8.781 |